A plane-wave DFT calculation with GGA-PBE was carried out for a geometry-optimized Mg8Tc structure.

Summary:
- calculated formation energy (meV/atom) = 99

abc: 9.946 9.946 3.760
angles: 90.00 90.00 90.00
Space group I4/mmm (No. 139)
Symmetry-distinct sites (fractional):
1 Mg 0.000 0.327 0.000 x8
2 Mg 0.151 0.151 0.500 x8
3 Tc 0.000 0.000 0.000 x2